Here is crystalline AlZnCl2 at its relaxed geometry from the Alexandria database. Energies are from GGA-PBEsol.

Cell lengths 3.435, 3.435, 8.609 Å; angles 90.00, 90.00, 122.38 degrees
Positions (direct):
Al 0.000 0.000 0.000
Zn 0.500 0.500 0.772
Cl 0.000 0.000 0.585
Cl 0.500 0.500 0.198

Values from the calculation:
Space group   Cmm2 (35)
E_tot   -12.028 eV for the cell shown